RbBaN3 (PBE-GGA, optimized geometry); final energy = -20.068 eV for the cell shown; raw formation energy = 7.80 eV/f.u.; D(E_F) = 0.805 states/eV/atom; symmetry = Pm-3m; volume = 138 Å³/f.u.
1.0
5.168 0.000 0.000
0.000 5.168 0.000
0.000 0.000 5.168
Rb Ba N
1 1 3
Direct
0.000 0.000 0.000 Rb
0.500 0.500 0.500 Ba
0.000 0.500 0.500 N
0.500 0.000 0.500 N
0.500 0.500 0.000 N


RbBaN (PBE-GGA, optimized geometry); final energy = -23.218 eV for the cell shown; raw formation energy = -0.39 eV/f.u.; D(E_F) = 0.846 states/eV/atom; symmetry = P-1; volume = 137 Å³/f.u.
1.0
4.124 0.000 0.000
-1.889 7.674 0.000
-0.147 -0.696 8.670
Rb Ba N
2 2 2
Direct
0.123 0.247 0.353 Rb
0.877 0.753 0.647 Rb
0.412 0.803 0.092 Ba
0.588 0.197 0.908 Ba
0.023 0.047 0.068 N
0.977 0.953 0.932 N


RbBaN3 (PBE-GGA, optimized geometry); final energy = -17.722 eV for the cell shown; raw formation energy = 10.14 eV/f.u.; D(E_F) = 0.698 states/eV/atom; symmetry = Pm-3m; volume = 98 Å³/f.u.
1.0
4.611 0.000 0.000
0.000 4.611 0.000
0.000 0.000 4.611
Rb Ba N
1 1 3
Direct
0.000 0.000 0.000 Rb
0.500 0.500 0.500 Ba
0.000 0.000 0.500 N
0.000 0.500 0.000 N
0.500 0.000 0.000 N


RbBaN (PBE-GGA, optimized geometry); final energy = -22.097 eV for the cell shown; raw formation energy = 0.17 eV/f.u.; D(E_F) = 0.755 states/eV/atom; symmetry = C2/m; volume = 113 Å³/f.u.
1.0
4.209 -2.176 0.000
4.209 2.176 0.000
-3.158 0.000 12.388
Rb Ba N
2 2 2
Direct
0.062 0.062 0.312 Rb
0.938 0.938 0.688 Rb
0.308 0.308 0.900 Ba
0.692 0.692 0.100 Ba
0.384 0.384 0.136 N
0.616 0.616 0.864 N


RbBa2ReN4 (PBE-GGA, optimized geometry); final energy = -111.299 eV for the cell shown; raw formation energy = -5.09 eV/f.u.; D(E_F) = 0.000 states/eV/atom; symmetry = Pmn2_1; volume = 171 Å³/f.u.
1.0
8.662 0.000 0.000
0.000 6.348 0.000
0.000 0.000 6.203
Rb Ba Re N
2 4 2 8
Direct
0.000 0.170 0.000 Rb
0.500 0.830 0.500 Rb
0.243 0.704 0.999 Ba
0.257 0.296 0.499 Ba
0.743 0.296 0.499 Ba
0.757 0.704 0.999 Ba
0.000 0.735 0.461 Re
0.500 0.265 0.961 Re
0.000 0.521 0.261 N
0.000 0.607 0.733 N
0.175 0.889 0.410 N
0.325 0.111 0.910 N
0.500 0.393 0.233 N
0.500 0.479 0.761 N
0.675 0.111 0.910 N
0.825 0.889 0.410 N


RbBaSN2 (PBE-GGA, optimized geometry); final energy = -19.637 eV for the cell shown; raw formation energy = 4.03 eV/f.u.; D(E_F) = 0.306 states/eV/atom; offset from the most stable computed form = 0.0 meV/atom; symmetry = P4/mmm; volume = 173 Å³/f.u.
1.0
5.387 0.000 0.000
0.000 5.387 0.000
0.000 0.000 5.977
Rb Ba S N
1 1 1 2
Direct
0.000 0.000 0.000 Rb
0.500 0.500 0.500 Ba
0.500 0.500 0.000 S
0.000 0.500 0.500 N
0.500 0.000 0.500 N


RbBaSN2 (PBE-GGA, optimized geometry); final energy = -18.136 eV for the cell shown; raw formation energy = 5.53 eV/f.u.; D(E_F) = 0.344 states/eV/atom; offset from the most stable computed form = 300.2 meV/atom; symmetry = P4/mmm; volume = 159 Å³/f.u.
1.0
5.067 0.000 0.000
0.000 5.067 0.000
0.000 0.000 6.195
Rb Ba S N
1 1 1 2
Direct
0.000 0.000 0.000 Rb
0.500 0.500 0.500 Ba
0.000 0.000 0.500 S
0.000 0.500 0.000 N
0.500 0.000 0.000 N


RbBaSe2N (PBE-GGA, optimized geometry); final energy = -16.184 eV for the cell shown; raw formation energy = 2.00 eV/f.u.; D(E_F) = 0.817 states/eV/atom; offset from the most stable computed form = 292.6 meV/atom; symmetry = P4/mmm; volume = 186 Å³/f.u.
1.0
6.032 0.000 0.000
0.000 6.032 0.000
0.000 0.000 5.120
Rb Ba Se N
1 1 2 1
Direct
0.000 0.000 0.000 Rb
0.500 0.500 0.500 Ba
0.000 0.500 0.000 Se
0.500 0.000 0.000 Se
0.000 0.000 0.500 N


RbBaSeN2 (PBE-GGA, optimized geometry); final energy = -19.140 eV for the cell shown; raw formation energy = 3.89 eV/f.u.; D(E_F) = 0.583 states/eV/atom; offset from the most stable computed form = 0.0 meV/atom; symmetry = P4/mmm; volume = 184 Å³/f.u.
1.0
5.397 0.000 0.000
0.000 5.397 0.000
0.000 0.000 6.304
Rb Ba Se N
1 1 1 2
Direct
0.000 0.000 0.000 Rb
0.500 0.500 0.500 Ba
0.500 0.500 0.000 Se
0.000 0.500 0.500 N
0.500 0.000 0.500 N


RbBaSe2N (PBE-GGA, optimized geometry); final energy = -17.647 eV for the cell shown; raw formation energy = 0.54 eV/f.u.; D(E_F) = 1.207 states/eV/atom; offset from the most stable computed form = 0.0 meV/atom; symmetry = P4/mmm; volume = 213 Å³/f.u.
1.0
6.293 0.000 0.000
0.000 6.293 0.000
0.000 0.000 5.384
Rb Ba Se N
1 1 2 1
Direct
0.000 0.000 0.000 Rb
0.500 0.500 0.500 Ba
0.000 0.500 0.500 Se
0.500 0.000 0.500 Se
0.500 0.500 0.000 N


RbBaSeN2 (PBE-GGA, optimized geometry); final energy = -17.707 eV for the cell shown; raw formation energy = 5.32 eV/f.u.; D(E_F) = 0.355 states/eV/atom; offset from the most stable computed form = 286.5 meV/atom; symmetry = P4/mmm; volume = 170 Å³/f.u.
1.0
5.125 0.000 0.000
0.000 5.125 0.000
0.000 0.000 6.466
Rb Ba Se N
1 1 1 2
Direct
0.000 0.000 0.000 Rb
0.500 0.500 0.500 Ba
0.000 0.000 0.500 Se
0.000 0.500 0.000 N
0.500 0.000 0.000 N


RbBaTaN3 (PBE-GGA, optimized geometry); final energy = -86.629 eV for the cell shown; raw formation energy = -3.60 eV/f.u.; D(E_F) = 0.719 states/eV/atom; symmetry = C2/c; volume = 123 Å³/f.u.
1.0
3.192 -6.552 0.000
3.192 6.552 0.000
-0.063 0.000 5.896
Rb Ba Ta N
2 2 2 6
Direct
0.241 0.759 0.750 Rb
0.759 0.241 0.250 Rb
0.407 0.593 0.250 Ba
0.593 0.407 0.750 Ba
0.050 0.950 0.250 Ta
0.950 0.050 0.750 Ta
0.195 0.805 0.250 N
0.208 0.211 0.500 N
0.211 0.208 0.000 N
0.789 0.792 0.000 N
0.792 0.789 0.500 N
0.805 0.195 0.750 N


RbBa2Tc2N6 (PBE-GGA, optimized geometry); final energy = -77.739 eV for the cell shown; raw formation energy = -2.24 eV/f.u.; D(E_F) = 0.258 states/eV/atom; symmetry = P-1; volume = 248 Å³/f.u.
1.0
6.475 0.000 0.000
2.690 5.948 0.000
3.125 1.926 6.429
Rb Ba Tc N
1 2 2 6
Direct
0.000 0.000 0.000 Rb
0.235 0.248 0.325 Ba
0.765 0.752 0.675 Ba
0.496 0.666 0.317 Tc
0.504 0.334 0.683 Tc
0.186 0.797 0.349 N
0.343 0.467 0.891 N
0.379 0.144 0.676 N
0.621 0.856 0.324 N
0.657 0.533 0.109 N
0.814 0.203 0.651 N


RbBaTeN2 (PBE-GGA, optimized geometry); final energy = -17.457 eV for the cell shown; raw formation energy = 5.23 eV/f.u.; D(E_F) = 2.167 states/eV/atom; offset from the most stable computed form = 0.0 meV/atom; symmetry = P4/mmm; volume = 197 Å³/f.u.
1.0
5.361 0.000 0.000
0.000 5.361 0.000
0.000 0.000 6.854
Rb Ba Te N
1 1 1 2
Direct
0.000 0.000 0.000 Rb
0.500 0.500 0.500 Ba
0.500 0.500 0.000 Te
0.000 0.500 0.500 N
0.500 0.000 0.500 N


RbBaTeN2 (PBE-GGA, optimized geometry); final energy = -17.191 eV for the cell shown; raw formation energy = 5.49 eV/f.u.; D(E_F) = 0.428 states/eV/atom; offset from the most stable computed form = 53.0 meV/atom; symmetry = P4/mmm; volume = 191 Å³/f.u.
1.0
5.245 0.000 0.000
0.000 5.245 0.000
0.000 0.000 6.952
Rb Ba Te N
1 1 1 2
Direct
0.000 0.000 0.000 Rb
0.500 0.500 0.500 Ba
0.000 0.000 0.500 Te
0.000 0.500 0.000 N
0.500 0.000 0.000 N


Rb2BaTlN (PBE-GGA, optimized geometry); final energy = -12.080 eV for the cell shown; raw formation energy = 2.47 eV/f.u.; D(E_F) = 0.969 states/eV/atom; symmetry = P4/mmm; volume = 274 Å³/f.u.
1.0
7.720 0.000 0.000
0.000 7.720 0.000
0.000 0.000 4.593
Rb Ba Tl N
2 1 1 1
Direct
0.000 0.500 0.000 Rb
0.500 0.000 0.000 Rb
0.000 0.000 0.000 Ba
0.500 0.500 0.500 Tl
0.000 0.000 0.500 N


RbBaUN3 (PBE-GGA, optimized geometry); final energy = -88.133 eV for the cell shown; raw formation energy = -4.91 eV/f.u.; symmetry = C2/c; volume = 135 Å³/f.u.
1.0
3.223 -6.823 0.000
3.223 6.823 0.000
-0.826 0.000 6.120
Rb Ba U N
2 2 2 6
Direct
0.243 0.757 0.750 Rb
0.757 0.243 0.250 Rb
0.410 0.590 0.250 Ba
0.590 0.410 0.750 Ba
0.064 0.936 0.250 U
0.936 0.064 0.750 U
0.174 0.222 0.495 N
0.208 0.792 0.250 N
0.222 0.174 0.995 N
0.778 0.826 0.005 N
0.792 0.208 0.750 N
0.826 0.778 0.505 N


RbBa2ZnN (PBE-GGA, optimized geometry); final energy = -13.268 eV for the cell shown; raw formation energy = 1.14 eV/f.u.; D(E_F) = 0.525 states/eV/atom; symmetry = P4/mmm; volume = 214 Å³/f.u.
1.0
5.421 0.000 0.000
0.000 5.421 0.000
0.000 0.000 7.289
Rb Ba Zn N
1 2 1 1
Direct
0.000 0.000 0.000 Rb
0.000 0.500 0.500 Ba
0.500 0.000 0.500 Ba
0.500 0.500 0.000 Zn
0.500 0.500 0.500 N


BaReN2 (PBE-GGA, optimized geometry); final energy = -64.774 eV for the cell shown; raw formation energy = -1.37 eV/f.u.; D(E_F) = 0.373 states/eV/atom; offset from the most stable computed form = 0.0 meV/atom; symmetry = I-42d; volume = 74 Å³/f.u.
1.0
-2.616 2.616 5.399
2.616 -2.616 5.399
2.616 2.616 -5.399
Ba Re N
2 2 4
Direct
0.000 0.000 0.000 Ba
0.750 0.250 0.500 Ba
0.250 0.750 0.500 Re
0.500 0.500 0.000 Re
0.316 0.625 0.191 N
0.375 0.566 0.691 N
0.434 0.125 0.809 N
0.875 0.684 0.309 N


Ba2ReN3 (PBE-GGA, optimized geometry); final energy = -88.055 eV for the cell shown; raw formation energy = -2.76 eV/f.u.; offset from the most stable computed form = 155.9 meV/atom; symmetry = Fmmm; volume = 146 Å³/f.u.
1.0
0.000 3.970 9.793
3.751 0.000 9.793
3.751 3.970 0.000
Ba Re N
4 2 6
Direct
0.218 0.782 0.218 Ba
0.250 0.250 0.250 Ba
0.750 0.750 0.750 Ba
0.782 0.218 0.782 Ba
0.372 0.372 0.628 Re
0.628 0.628 0.372 Re
0.212 0.627 0.788 N
0.279 0.279 0.721 N
0.373 0.788 0.627 N
0.627 0.212 0.373 N
0.721 0.721 0.279 N
0.788 0.373 0.212 N


BaReN4 (PBE-GGA, optimized geometry); final energy = -89.879 eV for the cell shown; raw formation energy = 2.73 eV/f.u.; D(E_F) = 0.689 states/eV/atom; symmetry = P4_2/nmc; volume = 100 Å³/f.u.
1.0
5.185 0.000 0.000
0.000 5.185 0.000
0.000 0.000 7.418
Ba Re N
2 2 8
Direct
0.250 0.750 0.250 Ba
0.750 0.250 0.750 Ba
0.250 0.750 0.750 Re
0.750 0.250 0.250 Re
0.028 0.250 0.097 N
0.250 0.028 0.597 N
0.250 0.472 0.597 N
0.472 0.250 0.097 N
0.528 0.750 0.903 N
0.750 0.528 0.403 N
0.750 0.972 0.403 N
0.972 0.750 0.903 N


Ba2ReN (PBE-GGA, optimized geometry); final energy = -49.503 eV for the cell shown; raw formation energy = -0.13 eV/f.u.; D(E_F) = 0.883 states/eV/atom; symmetry = I-42d; volume = 126 Å³/f.u.
1.0
-5.705 5.705 1.942
5.705 -5.705 1.942
5.705 5.705 -1.942
Ba Re N
4 2 2
Direct
0.375 0.173 0.298 Ba
0.827 0.125 0.202 Ba
0.875 0.077 0.702 Ba
0.923 0.625 0.798 Ba
0.250 0.750 0.500 Re
0.500 0.500 0.000 Re
0.000 0.000 0.000 N
0.750 0.250 0.500 N


BaRe2N (PBE-GGA, optimized geometry); final energy = -64.600 eV for the cell shown; raw formation energy = 2.84 eV/f.u.; D(E_F) = 0.650 states/eV/atom; symmetry = Fd-3m; volume = 89 Å³/f.u.
1.0
0.000 4.465 4.465
4.465 0.000 4.465
4.465 4.465 0.000
Ba Re N
2 4 2
Direct
0.125 0.125 0.125 Ba
0.875 0.875 0.875 Ba
0.000 0.500 0.500 Re
0.500 0.000 0.500 Re
0.500 0.500 0.000 Re
0.500 0.500 0.500 Re
0.375 0.375 0.375 N
0.625 0.625 0.625 N


BaReN2 (PBE-GGA, optimized geometry); final energy = -29.084 eV for the cell shown; raw formation energy = 1.94 eV/f.u.; D(E_F) = 0.708 states/eV/atom; offset from the most stable computed form = 825.7 meV/atom; symmetry = R-3m; volume = 66 Å³/f.u.
1.0
1.677 0.968 6.798
-1.677 0.968 6.798
0.000 -1.936 6.798
Ba Re N
1 1 2
Direct
0.000 0.000 0.000 Ba
0.500 0.500 0.500 Re
0.127 0.127 0.127 N
0.873 0.873 0.873 N


BaReN2 (PBE-GGA, optimized geometry); final energy = -25.202 eV for the cell shown; raw formation energy = 5.82 eV/f.u.; D(E_F) = 0.355 states/eV/atom; offset from the most stable computed form = 1796.1 meV/atom; symmetry = Fm-3m; volume = 56 Å³/f.u.
1.0
0.000 3.042 3.042
3.042 0.000 3.042
3.042 3.042 0.000
Ba Re N
1 1 2
Direct
0.000 0.000 0.000 Ba
0.500 0.500 0.500 Re
0.250 0.250 0.250 N
0.750 0.750 0.750 N